(1)
DFT (PBE) results for CsPbN3 after structural relaxation.

```
data_CsPbN3
_symmetry_space_group_name_H-M 'P m -3 m'
_symmetry_Int_Tables_number 221
_symmetry_space_group_name_Hall '-P 4 2 3'
_cell_length_a 4.4003
_cell_length_b 4.4003
_cell_length_c 4.4003
_cell_angle_alpha 90.00
_cell_angle_beta 90.00
_cell_angle_gamma 90.00
loop_
_atom_site_label
_atom_site_fract_x
_atom_site_fract_y
_atom_site_fract_z
Cs1 0.0000 0.0000 0.0000
Pb1 0.5000 0.5000 0.5000
N1 0.0000 0.0000 0.5000
```

Calculated values
Total magnetization (μB/f.u.): 0.000
V (Å³ per cell): 85
Raw formation energy (eV per atom): 2.613
Uncorrected energy (eV/atom): -3.294
Calculated density (Mg/m³): 7.4

(2)
DFT (PBE) results for SrLaAl after structural relaxation.

```
data_SrLaAl
_symmetry_space_group_name_H-M 'C 1 m 1'
_symmetry_Int_Tables_number 8
_cell_length_a 11.5441
_cell_length_b 5.2823
_cell_length_c 7.2047
_cell_angle_alpha 90.00
_cell_angle_beta 114.93
_cell_angle_gamma 90.00
loop_
_symmetry_equiv_pos_as_xyz
'x,y,z'
'x,-y,z'
'x+1/2,y+1/2,z'
'x+1/2,-y+1/2,z'
loop_
_atom_site_label
_atom_site_fract_x
_atom_site_fract_y
_atom_site_fract_z
Sr1 0.0000 0.0000 0.0000
Sr2 0.1388 0.5000 0.8187
La1 0.2522 0.0000 0.5280
La2 0.3913 0.5000 0.3820
Al1 0.0773 0.5000 0.3239
Al2 0.3230 0.0000 0.0845
```

Calculated values
Total magnetization (μB/f.u.): 0.000
V (Å³ per cell): 398
DFT formation energy (eV per atom): -0.1173
ΔE to the lowest computed polymorph (kJ per mole of atoms): 8.5
Uncorrected energy (eV/atom): -3.568
Calculated density (Mg/m³): 4.2

(3)
DFT (PBE) results for Li4P2O7 after structural relaxation.

```
data_Li4P2O7
_symmetry_space_group_name_H-M 'P -1'
_symmetry_Int_Tables_number 2
_cell_length_a 5.5632
_cell_length_b 5.8268
_cell_length_c 10.0228
_cell_angle_alpha 103.76
_cell_angle_beta 98.17
_cell_angle_gamma 98.06
loop_
_symmetry_equiv_pos_as_xyz
'x,y,z'
'-x,-y,-z'
loop_
_atom_site_label
_atom_site_fract_x
_atom_site_fract_y
_atom_site_fract_z
Li1 0.0984 0.3138 0.4232
Li2 0.1954 0.6874 0.0010
Li3 0.2091 0.7630 0.3046
Li4 0.3002 0.0914 0.8114
P1 0.3331 0.2909 0.1332
P2 0.4647 0.7803 0.5741
O1 0.0428 0.0264 0.2453
O2 0.1496 0.4672 0.1341
O3 0.1752 0.0247 0.1247
O4 0.1966 0.6697 0.4894
O5 0.4434 0.2419 0.0008
O6 0.4573 0.0415 0.6564
O7 0.4608 0.6351 0.7350
```

Calculated values
Total magnetization (μB/f.u.): 0.000
V (Å³ per cell): 307
Raw formation energy (eV per atom): -1.870
ΔE to the lowest computed polymorph (kJ per mole of atoms): 47.8
Uncorrected energy (eV/atom): -5.961
Calculated density (Mg/m³): 2.2

(4)
DFT (PBE) results for Tb5Nd4Sc after structural relaxation.

```
data_Tb5Nd4Sc
_symmetry_space_group_name_H-M 'I 4 m m'
_symmetry_Int_Tables_number 107
_symmetry_space_group_name_Hall 'I 4 -2'
_cell_length_a 10.6326
_cell_length_b 10.6326
_cell_length_c 5.9356
_cell_angle_alpha 90.00
_cell_angle_beta 90.00
_cell_angle_gamma 90.00
loop_
_atom_site_label
_atom_site_fract_x
_atom_site_fract_y
_atom_site_fract_z
Tb1 0.0000 0.0000 0.0000
Tb2 0.1859 0.1859 0.2870
Nd1 0.0000 0.3219 0.7604
Sc1 0.0000 0.0000 0.5292
```

Calculated values
Total magnetization (μB/f.u.): 0.000
V (Å³ per cell): 671
DFT formation energy (eV per atom): 0.2122
ΔE to the lowest computed polymorph (kJ per mole of atoms): 0.0
Uncorrected energy (eV/atom): -4.643
Calculated density (Mg/m³): 7.0

(5)
DFT (PBE) results for MnTePt2 after structural relaxation.

```
data_MnTePt2
_symmetry_space_group_name_H-M 'P 4 m m'
_symmetry_Int_Tables_number 99
_cell_length_a 3.6666
_cell_length_b 3.6666
_cell_length_c 5.4458
_cell_angle_alpha 90.00
_cell_angle_beta 90.00
_cell_angle_gamma 90.00
loop_
_symmetry_equiv_pos_as_xyz
'x,y,z'
'-y,x,z'
'-x,-y,z'
'y,-x,z'
'-x,y,z'
'y,x,z'
'x,-y,z'
'-y,-x,z'
loop_
_atom_site_label
_atom_site_fract_x
_atom_site_fract_y
_atom_site_fract_z
Mn1 0.0000 0.0000 0.0000
Te1 0.5000 0.5000 0.6583
Pt1 0.0000 0.0000 0.4814
Pt2 0.5000 0.5000 0.1619
```

Calculated values
Total magnetization (μB/f.u.): 4.440
V (Å³ per cell): 73
Raw formation energy (eV per atom): -0.059
Uncorrected energy (eV/atom): -6.157
Calculated density (Mg/m³): 13.0

(6)
DFT (PBE) results for CeGdGaSn after structural relaxation.

```
data_CeGdGaSn
_symmetry_space_group_name_H-M 'F -4 3 m'
_symmetry_Int_Tables_number 216
_symmetry_space_group_name_Hall 'F -4 2 3'
_cell_length_a 7.4831
_cell_length_b 7.4831
_cell_length_c 7.4831
_cell_angle_alpha 90.00
_cell_angle_beta 90.00
_cell_angle_gamma 90.00
loop_
_atom_site_label
_atom_site_fract_x
_atom_site_fract_y
_atom_site_fract_z
Ce1 0.0000 0.0000 0.0000
Gd1 0.0000 0.0000 0.5000
Ga1 0.2500 0.2500 0.2500
Sn1 0.2500 0.2500 0.7500
```

Calculated values
Total magnetization (μB/f.u.): 8.298
V (Å³ per cell): 419
DFT formation energy (eV per atom): -0.5317
Uncorrected energy (eV/atom): -7.293
Calculated density (Mg/m³): 7.7

(7)
DFT (PBE) results for Na2Sr5Si2 after structural relaxation.

```
data_Na2Sr5Si2
_symmetry_space_group_name_H-M 'C m c e'
_symmetry_Int_Tables_number 64
_symmetry_space_group_name_Hall '-C 2ac 2'
_cell_length_a 20.8350
_cell_length_b 8.2196
_cell_length_c 8.2175
_cell_angle_alpha 90.00
_cell_angle_beta 90.00
_cell_angle_gamma 90.00
loop_
_atom_site_label
_atom_site_fract_x
_atom_site_fract_y
_atom_site_fract_z
Na1 0.2308 0.0000 0.0000
Sr1 0.0000 0.0000 0.0000
Sr2 0.1068 0.1792 0.3208
Si1 0.0000 0.1072 0.6072
```

Calculated values
Total magnetization (μB/f.u.): 0.002
V (Å³ per cell): 1407
Raw formation energy (eV per atom): -0.196
Uncorrected energy (eV/atom): -2.629
Calculated density (Mg/m³): 2.5

(8)
DFT (PBE) results for AcLa9Pm2 after structural relaxation.

```
data_AcLa9Pm2
_symmetry_space_group_name_H-M 'P 4/m m m'
_symmetry_Int_Tables_number 123
_symmetry_space_group_name_Hall '-P 4 2'
_cell_length_a 5.2798
_cell_length_b 5.2798
_cell_length_c 15.8245
_cell_angle_alpha 90.00
_cell_angle_beta 90.00
_cell_angle_gamma 90.00
loop_
_atom_site_label
_atom_site_fract_x
_atom_site_fract_y
_atom_site_fract_z
Ac1 0.0000 0.0000 0.0000
La1 0.0000 0.5000 0.1718
La2 0.0000 0.5000 0.5000
La3 0.5000 0.5000 0.0000
La4 0.5000 0.5000 0.3367
Pm1 0.0000 0.0000 0.3358
```

Calculated values
Total magnetization (μB/f.u.): 0.000
V (Å³ per cell): 441
DFT formation energy (eV per atom): 0.0089
Uncorrected energy (eV/atom): -4.821
Calculated density (Mg/m³): 6.7

(9)
DFT (PBE) results for Ta12TiNb6 after structural relaxation.

```
data_Ta12TiNb6
_symmetry_space_group_name_H-M 'R -3 m'
_symmetry_Int_Tables_number 166
_symmetry_space_group_name_Hall '-R 3 2"'
_cell_length_a 12.0250
_cell_length_b 12.0250
_cell_length_c 9.4568
_cell_angle_alpha 90.00
_cell_angle_beta 90.00
_cell_angle_gamma 120.00
loop_
_atom_site_label
_atom_site_fract_x
_atom_site_fract_y
_atom_site_fract_z
Ta1 0.0000 0.3713 0.0000
Ta2 0.0887 0.1773 0.8838
Ti1 0.0000 0.0000 0.5000
Nb1 0.0505 0.5252 0.2275
```

Calculated values
Total magnetization (μB/f.u.): 0.000
V (Å³ per cell): 1184
DFT formation energy (eV per atom): 0.8710
Uncorrected energy (eV/atom): -10.210
Calculated density (Mg/m³): 11.7

(10)
DFT (PBE) results for GeRh3Pb after structural relaxation.

```
data_GeRh3Pb
_symmetry_space_group_name_H-M 'P m -3 m'
_symmetry_Int_Tables_number 221
_symmetry_space_group_name_Hall '-P 4 2 3'
_cell_length_a 4.9636
_cell_length_b 4.9636
_cell_length_c 4.9636
_cell_angle_alpha 90.00
_cell_angle_beta 90.00
_cell_angle_gamma 90.00
loop_
_atom_site_label
_atom_site_fract_x
_atom_site_fract_y
_atom_site_fract_z
Ge1 0.0000 0.0000 0.0000
Rh1 0.0000 0.5000 0.5000
Pb1 0.5000 0.5000 0.5000
```

Calculated values
Total magnetization (μB/f.u.): 1.161
V (Å³ per cell): 122
DFT formation energy (eV per atom): 1.4200
ΔE to the lowest computed polymorph (kJ per mole of atoms): 106.4
Uncorrected energy (eV/atom): -4.656
Calculated density (Mg/m³): 8.0

(11)
DFT (PBE) results for La4OsRhI2 after structural relaxation.

```
data_La4OsRhI2
_symmetry_space_group_name_H-M 'P 1 2/m 1'
_symmetry_Int_Tables_number 10
_cell_length_a 7.3337
_cell_length_b 4.2502
_cell_length_c 8.6104
_cell_angle_alpha 90.00
_cell_angle_beta 106.53
_cell_angle_gamma 90.00
loop_
_symmetry_equiv_pos_as_xyz
'x,y,z'
'-x,-y,-z'
'-x,y,-z'
'x,-y,z'
loop_
_atom_site_label
_atom_site_fract_x
_atom_site_fract_y
_atom_site_fract_z
La1 0.2226 0.0000 0.1860
La2 0.2655 0.5000 0.8160
Os1 0.0000 0.5000 0.0000
Rh1 0.5000 0.0000 0.0000
I1 0.0000 0.0000 0.5000
I2 0.5000 0.5000 0.5000
```

Calculated values
Total magnetization (μB/f.u.): 0.000
V (Å³ per cell): 257
Raw formation energy (eV per atom): -0.885
Uncorrected energy (eV/atom): -6.059
Calculated density (Mg/m³): 7.1